{
  "formula": "PmPr8Tm2",
  "functional": "PBE",
  "state": "relaxed",
  "lattice": [[5.8203, 1.7120, 0.0000], [2.7457, 8.8161, 0.0000], [1.3728, 4.4081, 8.3513]],
  "species": ["Pm", "Pr", "Pr", "Pr", "Pr", "Pr", "Pr", "Pr", "Pr", "Tm", "Tm"],
  "fractional_positions": [[0.5000, 0.0000, 0.0000], [0.8195, 0.0980, 0.2391], [0.8195, 0.3371, 0.7609], [0.2954, 0.4224, 0.0000], [0.5000, 0.7943, 0.4115], [0.5000, 0.2057, 0.5885], [0.7046, 0.5776, 0.0000], [0.1805, 0.6629, 0.2391], [0.1805, 0.9020, 0.7609], [0.0000, 0.3103, 0.3795], [0.0000, 0.6897, 0.6205]],
  "e_above_lowest_polymorph_ev_per_atom": 0.0261,
  "dos_ef_per_ev_cell": 15.19,
  "mass_density_kg_m3": 6868,
  "formation_enthalpy_0k_ev_per_atom": 0.13
}

=====

{
  "formula": "PmPrTm",
  "functional": "PBE",
  "state": "relaxed",
  "lattice": [[-1.0379, 1.1820, 3.1504], [-5.4462, -1.1272, -1.3713], [3.1978, -4.0062, 2.5567]],
  "species": ["Pr", "Tm", "Pm"],
  "fractional_positions": [[0.6666, 0.6667, 0.3333], [0.1674, 0.3333, 0.6667], [0.1660, 0.0000, 0.0000]],
  "e_above_lowest_polymorph_ev_per_atom": 0.0449,
  "dos_ef_per_ev_cell": 4.07,
  "mass_density_kg_m3": 7548,
  "formation_enthalpy_0k_ev_per_atom": 0.07
}

=====

{
  "formula": "Pm8Pr2Tm",
  "functional": "PBE",
  "state": "relaxed",
  "lattice": [[5.7376, -0.4747, -0.3316], [0.3185, 9.9055, 2.5827], [0.3185, 5.8339, 8.4116]],
  "species": ["Pm", "Pm", "Pm", "Pm", "Pm", "Pm", "Pm", "Pm", "Pr", "Pr", "Tm"],
  "fractional_positions": [[0.2687, 0.1365, 0.6107], [0.2687, 0.6107, 0.1365], [0.7313, 0.8635, 0.3893], [0.2335, 0.5448, 0.5448], [0.7313, 0.3893, 0.8635], [0.2275, 0.1845, 0.1845], [0.7725, 0.8155, 0.8155], [0.7665, 0.4552, 0.4552], [0.7411, 0.2833, 0.2833], [0.2589, 0.7167, 0.7167], [0.0000, 0.0000, 0.0000]],
  "e_above_lowest_polymorph_ev_per_atom": 0.1507,
  "dos_ef_per_ev_cell": 16.22,
  "mass_density_kg_m3": 6807,
  "formation_enthalpy_0k_ev_per_atom": 0.17
}